(1)
Material: Y2TiPbO6
Method: DFT, GGA-PBE
State: optimized geometry

## Properties
The value obtained for the formation energy (no corrections) is -2.62 eV per atom. The calculation puts the volume at 16.35 A^3/atom. For the total magnetic moment, the calculation gives 0.00 Bohr magnetons per cell. The value obtained for the density of states at the Fermi level is 0.000 states/eV/cell.

a b c (Å): 5.4017 5.4017 5.6047
angles (deg): 90.00 90.00 90.00
Last column: nearest neighbours and their distance in Å.
Space group P4mm (No. 99)
Unique sites:
Y  0.0000  0.5000  0.0000  4 O 2.24
Ti  0.0000  0.0000  0.6507  5 O 1.82-1.94
Pb  0.5000  0.5000  0.5572  5 O 2.30-2.43
O  0.0000  0.0000  0.3260  1 Ti 1.82
O  0.2315  0.2315  0.7910  1 Ti 1.94
O  0.5000  0.5000  0.1465  1 Pb 2.30

(2)
Material: BaCr3
Method: DFT, GGA-PBE
State: optimized geometry

## Properties
The value obtained for the offset from the most stable computed form is 1.168 eV/f.u. The calculation puts the formation enthalpy at 0 K at 1.04 eV/atom. The calculation puts the volume at 21.76 A^3/atom. For the total magnetic moment, the calculation gives 4.00 Bohr magnetons per cell. The value obtained for the density of states at the Fermi level is 4.273 states/eV/cell.

a b c (Å): 3.3805 3.3805 8.7928
angles (deg): 90.00 90.00 120.00
Last column: nearest neighbours and their distance in Å.
Space group P-6m2 (No. 187)
Unique sites:
Ba  0.0000  0.0000  0.0000  6 Ba 3.38, 6 Cr 3.47
Cr  0.0000  0.0000  0.5000  6 Cr 2.48
Cr  0.6667  0.3333  0.3264  3 Cr 2.48

(3)
Material: YSbI2N
Method: DFT, GGA-PBE
State: optimized geometry

## Properties
The value obtained for the offset from the most stable computed form is 1.470 eV/f.u. The value obtained for the formation energy (no corrections) is 0.37 eV per atom. The calculation puts the volume at 31.49 A^3/atom. For the total magnetic moment, the calculation gives 0.12 Bohr magnetons per cell. The value obtained for the density of states at the Fermi level is 3.699 states/eV/cell.

a b c (Å): 6.2820 6.2820 3.9900
angles (deg): 90.00 90.00 90.00
Last column: nearest neighbours and their distance in Å.
Space group P4/mmm (No. 123)
Unique sites:
Y  0.0000  0.0000  0.0000  8 I 3.72, 2 Y 3.99
Sb  0.5000  0.5000  0.5000  2 N 1.99
I  0.0000  0.5000  0.5000  2 Sb 3.14
N  0.5000  0.5000  0.0000  2 Sb 1.99

(4)
Material: CeNpSe3
Method: DFT, GGA-PBE
State: optimized geometry

## Properties
The value obtained for the offset from the most stable computed form is 0.000 eV/f.u. The value obtained for the formation energy (no corrections) is -1.52 eV per atom. The calculation puts the volume at 25.55 A^3/atom. For the total magnetic moment, the calculation gives 19.82 Bohr magnetons per cell. The value obtained for the density of states at the Fermi level is 64.093 states/eV/cell.

a b c (Å): 7.7183 4.1662 15.8927
angles (deg): 90.00 90.00 90.00
Last column: nearest neighbours and their distance in Å.
Space group Pnma (No. 62)
Unique sites:
Ce  0.1264  0.2500  0.2059  7 Se 2.93-3.13
Np  0.2362  0.7500  0.4603  7 Se 2.89-3.05
Se  0.0087  0.2500  0.3947  3 Np 2.92-2.98, 1 Ce 3.13
Se  0.1270  0.7500  0.0671  3 Np 2.89-3.05, 2 Ce 3.03
Se  0.1569  0.2500  0.7813  4 Ce 2.93-3.03, 1 Np 2.96, 1 Se 3.26

(5)
Material: TeOsRh
Method: DFT, GGA-PBE
State: optimized geometry

## Properties
The value obtained for the offset from the most stable computed form is 0.786 eV/f.u. The value obtained for the formation energy (no corrections) is 0.61 eV per atom. The calculation puts the volume at 17.18 A^3/atom. For the total magnetic moment, the calculation gives 0.00 Bohr magnetons per cell. The value obtained for the density of states at the Fermi level is 3.587 states/eV/cell.

a b c (Å): 3.0900 3.0900 6.2329
angles (deg): 90.00 90.00 120.00
Last column: nearest neighbours and their distance in Å.
Space group P3m1 (No. 156)
Unique sites:
Te  0.0000  0.0000  0.0000  3 Os 2.71, 3 Rh 2.76
Os  0.3333  0.6667  0.3271  3 Te 2.71, 3 Rh 2.75
Rh  0.6667  0.3333  0.6629  3 Os 2.75, 3 Te 2.76

(6)
Material: DyErTlPt
Method: DFT, GGA-PBE
State: optimized geometry

## Properties
The calculation puts the formation enthalpy at 0 K at -0.70 eV/atom. The calculation puts the volume at 23.85 A^3/atom. For the total magnetic moment, the calculation gives 0.00 Bohr magnetons per cell. The value obtained for the density of states at the Fermi level is 14.417 states/eV/cell.

a b c (Å): 7.2528 7.2528 7.2528
angles (deg): 90.00 90.00 90.00
Last column: nearest neighbours and their distance in Å.
Space group F-43m (No. 216)
Unique sites:
Dy  0.0000  0.0000  0.0000  4 Tl 3.14, 4 Pt 3.14
Er  0.0000  0.0000  0.5000  4 Pt 3.14, 4 Tl 3.14
Tl  0.2500  0.2500  0.7500  4 Er 3.14, 4 Dy 3.14
Pt  0.2500  0.2500  0.2500  4 Dy 3.14, 4 Er 3.14

(7)
Material: Ho2ScSb3
Method: DFT, GGA-PBE
State: optimized geometry

## Properties
The value obtained for the offset from the most stable computed form is 0.020 eV/f.u. The value obtained for the formation energy (no corrections) is -1.04 eV per atom. The calculation puts the volume at 28.20 A^3/atom. For the total magnetic moment, the calculation gives 0.00 Bohr magnetons per cell. The value obtained for the density of states at the Fermi level is 2.546 states/eV/cell.

a b c (Å): 4.3005 6.0999 12.9001
angles (deg): 90.00 90.00 90.00
Last column: nearest neighbours and their distance in Å.
Space group Immm (No. 71)
Unique sites:
Ho  0.0000  0.0000  0.1689  6 Sb 3.05-3.09
Sc  0.0000  0.0000  0.5000  6 Sb 2.97-3.05
Sb  0.0000  0.5000  0.1592  2 Sc 2.97, 4 Ho 3.05-3.09
Sb  0.0000  0.5000  0.5000  2 Sc 3.05, 4 Ho 3.06

(8)
Material: ScGaBi2
Method: DFT, GGA-PBE
State: optimized geometry

## Properties
The calculation puts the formation enthalpy at 0 K at -0.20 eV/atom. The calculation puts the volume at 25.70 A^3/atom. For the total magnetic moment, the calculation gives 0.00 Bohr magnetons per cell. The value obtained for the density of states at the Fermi level is 1.892 states/eV/cell.

a b c (Å): 4.9271 4.9271 4.2351
angles (deg): 90.00 90.00 90.00
Last column: nearest neighbours and their distance in Å.
Space group P4/mmm (No. 123)
Unique sites:
Sc  0.0000  0.0000  0.0000  8 Bi 3.25, 4 Ga 3.48
Ga  0.5000  0.5000  0.0000  8 Bi 3.25, 4 Sc 3.48
Bi  0.0000  0.5000  0.5000  4 Ga 3.25, 4 Sc 3.25, 4 Bi 3.48

(9)
Material: Na2BrCl
Method: DFT, GGA-PBE
State: optimized geometry

## Properties
The value obtained for the offset from the most stable computed form is 0.618 eV/f.u. The value obtained for the formation energy (no corrections) is -1.52 eV per atom. The calculation puts the volume at 23.71 A^3/atom. For the total magnetic moment, the calculation gives 0.00 Bohr magnetons per cell. The value obtained for the density of states at the Fermi level is 0.000 states/eV/cell.

a b c (Å): 7.2391 7.2391 7.2391
angles (deg): 90.00 90.00 90.00
Last column: nearest neighbours and their distance in Å.
Space group Fm-3m (No. 225)
Unique sites:
Na  0.2500  0.2500  0.2500  4 Br 3.13, 4 Cl 3.13
Br  0.0000  0.0000  0.0000  8 Na 3.13
Cl  0.0000  0.0000  0.5000  8 Na 3.13

(10)
Material: TaMo2RuPb
Method: DFT, GGA-PBE
State: optimized geometry

## Properties
The calculation puts the formation enthalpy at 0 K at 1.28 eV/atom. The calculation puts the volume at 21.93 A^3/atom. For the total magnetic moment, the calculation gives 1.29 Bohr magnetons per cell. The value obtained for the density of states at the Fermi level is 4.665 states/eV/cell.

a b c (Å): 4.7686 4.7686 4.8219
angles (deg): 90.00 90.00 90.00
Last column: nearest neighbours and their distance in Å.
Space group P4/mmm (No. 123)
Unique sites:
Ta  0.0000  0.0000  0.0000  2 Ru 2.41
Mo  0.0000  0.5000  0.5000  2 Ru 2.38
Ru  0.0000  0.0000  0.5000  4 Mo 2.38, 2 Ta 2.41
Pb  0.5000  0.5000  0.0000  4 Ta 3.37, 8 Mo 3.39

(11)
Material: NbSeS3
Method: DFT, GGA-PBE
State: optimized geometry

## Properties
The value obtained for the offset from the most stable computed form is 0.000 eV/f.u. The value obtained for the formation energy (no corrections) is 0.11 eV per atom. The calculation puts the volume at 22.14 A^3/atom. For the total magnetic moment, the calculation gives 0.95 Bohr magnetons per cell. The value obtained for the density of states at the Fermi level is 5.132 states/eV/cell.

a b c (Å): 4.8016 4.8016 4.8016
angles (deg): 90.00 90.00 90.00
Last column: nearest neighbours and their distance in Å.
Space group Pm-3m (No. 221)
Unique sites:
Nb  0.0000  0.0000  0.0000  6 S 2.40
Se  0.5000  0.5000  0.5000  12 S 3.40
S  0.0000  0.0000  0.5000  2 Nb 2.40

(12)
Material: V6ReW2
Method: DFT, GGA-PBE
State: optimized geometry

## Properties
The value obtained for the offset from the most stable computed form is 0.000 eV/f.u. The calculation puts the formation enthalpy at 0 K at -0.10 eV/atom. The calculation puts the volume at 14.26 A^3/atom. For the total magnetic moment, the calculation gives 0.00 Bohr magnetons per cell. The value obtained for the density of states at the Fermi level is 19.877 states/eV/cell.

a b c (Å): 3.0497 4.4107 19.1427
angles (deg): 90.00 94.37 90.00
Last column: nearest neighbours and their distance in Å.
Space group C2/m (No. 12)
Unique sites:
V  0.0548  0.0000  0.1104  6 V 2.54-2.68, 2 Re 2.60
V  0.1080  0.5000  0.2172  6 V 2.54-2.68, 2 W 2.67-2.68
V  0.2232  0.5000  0.4471  6 V 2.52-2.68, 2 W 2.67-2.68
Re  0.0000  0.5000  0.0000  4 V 2.60, 4 Re 2.68
W  0.1659  0.0000  0.3321  4 V 2.67-2.68, 4 W 2.68